Compound: CrP2PbO
Source: Alexandria via LeMat-Bulk
Functional: PBE with a Hubbard U
Structure: relaxed

Cell: 5.234 5.234 4.165 Å, 90.00 90.00 90.00°
Last column: magnetic moment on the atom in μB.
Fractional coordinates of all 5 atoms:
1 P 0.500 0.000 0.000  -0.37
2 O 0.000 0.000 0.500  -0.21
3 P 0.000 0.500 0.000  -0.37
4 Pb 0.000 0.000 0.000  0.00
5 Cr 0.500 0.500 0.500  0.37

Results
Fermi-level density of states in states/eV/cell: 3.54
Magnetic moment in μB/cell: 1.5
Energy above the lowest structure with this stoichiometry in meV per atom: 1175
VASP energy in eV for the cell shown: -20.27